(1)
# CsCa4Cl8 (GGA-PBE, relaxed)
data_CsCa4Cl8
_cell_length_a 7.8411
_cell_length_b 7.8411
_cell_length_c 17.7780
_cell_angle_alpha 90.00
_cell_angle_beta 90.00
_cell_angle_gamma 120.00
_space_group_name_H-M_alt 'P 63/m m c'
_space_group_IT_number 194
_space_group_name_Hall '-P 6c 2c'
loop_
_atom_site_label
_atom_site_fract_x
_atom_site_fract_y
_atom_site_fract_z
Cs1 0.0000 0.0000 0.0000
Ca1 0.0000 0.0000 0.2500
Ca2 0.0093 0.5046 0.2500
Cl1 0.1678 0.3355 0.6565
Cl2 0.3333 0.6667 0.1553
# E_form (uncorrected) = -27.56 eV per formula unit

=====

(2)
# ErBiPt (GGA-PBE, relaxed)
data_ErBiPt
_cell_length_a 3.528
_cell_length_b 3.528
_cell_length_c 11.858
_cell_angle_alpha 90.00
_cell_angle_beta 90.00
_cell_angle_gamma 90.00
_space_group_name_H-M_alt 'I 4 m m'
_space_group_IT_number 107
_space_group_name_Hall 'I 4 -2'
loop_
_atom_site_label
_atom_site_fract_x
_atom_site_fract_y
_atom_site_fract_z
Er1 0.000 0.000 0.000
Bi1 0.000 0.000 0.290
Pt1 0.000 0.000 0.616
# energy of formation = -727 meV/atom

=====

(3)
# La4Cr2Sb (GGA-PBE, relaxed)
data_La4Cr2Sb
_cell_length_a 6.164
_cell_length_b 6.164
_cell_length_c 13.699
_cell_angle_alpha 90.00
_cell_angle_beta 90.00
_cell_angle_gamma 90.00
_space_group_name_H-M_alt 'I 4/m m m'
_space_group_IT_number 139
_space_group_name_Hall '-I 4 2'
loop_
_atom_site_label
_atom_site_fract_x
_atom_site_fract_y
_atom_site_fract_z
La1 0.000 0.000 0.224
La2 0.000 0.500 0.000
Cr1 0.000 0.000 0.434
Sb1 0.000 0.000 0.000
# E_form (uncorrected) = 2.82 eV per formula unit

=====

(4)
# SmBi2F8 (GGA-PBE, relaxed)
data_SmBi2F8
_cell_length_a 15.987
_cell_length_b 3.916
_cell_length_c 5.418
_cell_angle_alpha 90.00
_cell_angle_beta 104.99
_cell_angle_gamma 90.00
_space_group_name_H-M_alt 'C 1 2/m 1'
_space_group_IT_number 12
_space_group_name_Hall '-C 2y'
loop_
_atom_site_label
_atom_site_fract_x
_atom_site_fract_y
_atom_site_fract_z
Sm1 0.000 0.000 0.000
Bi1 0.168 0.500 0.668
F1 0.027 0.500 0.794
F2 0.098 0.000 0.407
F3 0.138 0.000 0.918
F4 0.232 0.500 0.322
# E_form (uncorrected) = -31.12 eV per formula unit

=====

(5)
# CrRePt2N (GGA-PBE, relaxed)
data_CrRePt2N
_cell_length_a 4.278
_cell_length_b 4.278
_cell_length_c 3.910
_cell_angle_alpha 90.00
_cell_angle_beta 90.00
_cell_angle_gamma 90.00
_space_group_name_H-M_alt 'P 4/m m m'
_space_group_IT_number 123
_space_group_name_Hall '-P 4 2'
loop_
_atom_site_label
_atom_site_fract_x
_atom_site_fract_y
_atom_site_fract_z
Cr1 0.000 0.000 0.000
Re1 0.500 0.500 0.000
Pt1 0.000 0.500 0.500
N1 0.500 0.500 0.500
# E_form (uncorrected) = 2.17 eV per formula unit

=====

(6)
# SmMgZnSn (GGA-PBE, relaxed)
data_SmMgZnSn
_cell_length_a 7.231
_cell_length_b 7.231
_cell_length_c 7.231
_cell_angle_alpha 90.00
_cell_angle_beta 90.00
_cell_angle_gamma 90.00
_space_group_name_H-M_alt 'F -4 3 m'
_space_group_IT_number 216
_space_group_name_Hall 'F -4 2 3'
loop_
_atom_site_label
_atom_site_fract_x
_atom_site_fract_y
_atom_site_fract_z
Sm1 0.000 0.000 0.000
Mg1 0.000 0.000 0.500
Zn1 0.250 0.250 0.750
Sn1 0.250 0.250 0.250
# energy of formation = -315 meV/atom

=====

| no. | VASP energy (eV per atom) |
| --- | --- |
| 1 | -3.94 |
| 2 | -5.56 |
| 3 | -5.75 |
| 4 | -5.32 |
| 5 | -8.06 |
| 6 | -3.21 |